An optimized crystal structure of RbZrNb2V, computed with PBE.

Structure (extended XYZ):
```
5
Lattice="-4.5940 0.5255 1.3785 -0.3406 -5.2521 0.8670 1.4427 0.6587 4.5570" Properties=species:S:1:pos:R:3 pbc="T T T"
Nb 0.7213 0.3294 2.2785
Nb -2.2970 0.2627 0.6892
Rb -1.7460 -2.0340 3.4012
Zr -0.1703 -2.6261 0.4335
V 0.0000 0.0000 0.0000
```

Values from the calculation:
Density of states at the Fermi level in states/eV/f.u.: 8.5
Electronic total energy in eV/atom: -6.482
Formation enthalpy at 0 K in kJ/mol of formula units: 614
Size of the total moment in μB/f.u.: 0.00
SG: P4/mmm

An optimized crystal structure of Rb3NbW, computed with PBE.

Structure (extended XYZ):
```
5
Lattice="-5.2814 -4.0256 1.7630 3.4967 -2.1797 5.4981 -2.6621 5.1235 3.7242" Properties=species:S:1:pos:R:3 pbc="T T T"
Nb 0.0000 0.0000 0.0000
Rb 1.7483 -1.0898 2.7491
Rb -1.3311 2.5618 1.8621
Rb -2.6407 -2.0128 0.8815
W -2.2234 -0.5409 5.4926
```

Values from the calculation:
Polymorph energy (0 for the lowest one) in eV per atom: 0.0000
Density of states at the Fermi level in states/eV/f.u.: 1.3
Electronic total energy in eV/atom: -2.795
Formation enthalpy at 0 K in kJ/mol of formula units: 1153
Size of the total moment in μB/f.u.: 10.07
SG: Pm-3m

Copy entry 1 word for word.
An optimized crystal structure of RbZrNb2V, computed with PBE.

Structure (extended XYZ):
```
5
Lattice="-4.5940 0.5255 1.3785 -0.3406 -5.2521 0.8670 1.4427 0.6587 4.5570" Properties=species:S:1:pos:R:3 pbc="T T T"
Nb 0.7213 0.3294 2.2785
Nb -2.2970 0.2627 0.6892
Rb -1.7460 -2.0340 3.4012
Zr -0.1703 -2.6261 0.4335
V 0.0000 0.0000 0.0000
```

Values from the calculation:
Density of states at the Fermi level in states/eV/f.u.: 8.5
Electronic total energy in eV/atom: -6.482
Formation enthalpy at 0 K in kJ/mol of formula units: 614
Size of the total moment in μB/f.u.: 0.00
SG: P4/mmm

What is the formula in the second record? Rb3NbW

The highest electronic total energy belongs to which entry? Rb3NbW

The lowest formation enthalpy at 0 K belongs to which entry? RbZrNb2V